<a>
CoF: relaxed, PBE with a Hubbard U.

Properties
Magnetic moment, Bohr magnetons per cell: 20.0
ρ, Mg/m³: 4.008
Calculated volume, Å³ per atom: 16.1

The structure in CIF format:
```
data_CoF
_space_group_name_H-M_alt 'P 1'
_space_group_IT_number 1
_cell_length_a 8.3648
_cell_length_b 8.3648
_cell_length_c 3.6919
_cell_angle_alpha 90.00
_cell_angle_beta 90.00
_cell_angle_gamma 90.00
loop_
_space_group_symop_operation_xyz
'x,y,z'
loop_
_atom_site_label
_atom_site_fract_x
_atom_site_fract_y
_atom_site_fract_z
Co1 0.3766 0.3462 0.0000
Co2 0.6234 0.6538 0.0000
Co3 0.6538 0.3766 0.0000
Co4 0.3462 0.6234 0.0000
Co5 0.8766 0.8462 0.5000
Co6 0.1234 0.1538 0.5000
Co7 0.1538 0.8766 0.5000
Co8 0.8462 0.1234 0.5000
F1 0.2581 0.8627 0.0000
F2 0.7419 0.1373 0.0000
F3 0.1373 0.2581 0.0000
F4 0.8627 0.7419 0.0000
F5 0.7581 0.3627 0.5000
F6 0.2419 0.6373 0.5000
F7 0.6373 0.7581 0.5000
F8 0.3627 0.2419 0.5000
```

=====

<b>
CoF: relaxed, PBE with a Hubbard U.

Properties
Magnetic moment, Bohr magnetons per cell: 18.6
ρ, Mg/m³: 5.430
Calculated volume, Å³ per atom: 11.9

The structure in CIF format:
```
data_CoF
_space_group_name_H-M_alt 'P 1'
_space_group_IT_number 1
_cell_length_a 8.2656
_cell_length_b 8.2656
_cell_length_c 2.7908
_cell_angle_alpha 90.00
_cell_angle_beta 90.00
_cell_angle_gamma 90.00
loop_
_space_group_symop_operation_xyz
'x,y,z'
loop_
_atom_site_label
_atom_site_fract_x
_atom_site_fract_y
_atom_site_fract_z
Co1 0.6923 0.4243 0.5000
Co2 0.3077 0.5757 0.5000
Co3 0.5757 0.6923 0.5000
Co4 0.4243 0.3077 0.5000
Co5 0.9242 0.8077 0.0000
Co6 0.0758 0.1923 0.0000
Co7 0.1923 0.9242 0.0000
Co8 0.8077 0.0758 0.0000
F1 0.8320 0.6397 0.5000
F2 0.1680 0.3603 0.5000
F3 0.3603 0.8320 0.5000
F4 0.6397 0.1680 0.5000
F5 0.8604 0.3321 0.0000
F6 0.1396 0.6679 0.0000
F7 0.6679 0.8604 0.0000
F8 0.3321 0.1396 0.0000
```

=====

<c>
CoF: relaxed, PBE with a Hubbard U.

Properties
Magnetic moment, Bohr magnetons per cell: 9.1
ρ, Mg/m³: 4.370
Calculated volume, Å³ per atom: 14.8

The structure in CIF format:
```
data_CoF
_space_group_name_H-M_alt 'P 1'
_space_group_IT_number 1
_cell_length_a 6.5628
_cell_length_b 6.5628
_cell_length_c 2.7499
_cell_angle_alpha 90.00
_cell_angle_beta 90.00
_cell_angle_gamma 90.00
loop_
_space_group_symop_operation_xyz
'x,y,z'
loop_
_atom_site_label
_atom_site_fract_x
_atom_site_fract_y
_atom_site_fract_z
Co1 0.3232 0.3232 0.0000
Co2 0.8232 0.1768 0.5000
Co3 0.1768 0.8232 0.5000
Co4 0.6768 0.6768 0.0000
F1 0.3553 0.6447 0.0000
F2 0.8553 0.8553 0.5000
F3 0.1447 0.1447 0.5000
F4 0.6447 0.3553 0.0000
```

=====

<d>
CoF: relaxed, PBE with a Hubbard U.

Properties
Magnetic moment, Bohr magnetons per cell: 14.5
ρ, Mg/m³: 3.526
Calculated volume, Å³ per atom: 18.4

The structure in CIF format:
```
data_CoF
_space_group_name_H-M_alt 'P 1'
_space_group_IT_number 1
_cell_length_a 6.0388
_cell_length_b 6.0388
_cell_length_c 6.0388
_cell_angle_alpha 90.00
_cell_angle_beta 90.00
_cell_angle_gamma 90.00
loop_
_space_group_symop_operation_xyz
'x,y,z'
loop_
_atom_site_label
_atom_site_fract_x
_atom_site_fract_y
_atom_site_fract_z
Co1 0.2500 0.5000 0.0000
Co2 0.7500 0.5000 0.0000
Co3 0.5000 0.0000 0.2500
Co4 0.5000 0.0000 0.7500
Co5 0.0000 0.2500 0.5000
Co6 0.0000 0.7500 0.5000
F1 0.2500 0.0000 0.5000
F2 0.7500 0.0000 0.5000
F3 0.0000 0.5000 0.2500
F4 0.0000 0.5000 0.7500
F5 0.5000 0.2500 0.0000
F6 0.5000 0.7500 0.0000
```

=====

Which is most stable, and by how much? <b>, by 121 meV per atom.

=====

<a>
CoF: relaxed, PBE with a Hubbard U.

Properties
Magnetic moment, Bohr magnetons per cell: 9.3
ρ, Mg/m³: 4.589
Calculated volume, Å³ per atom: 14.1

The structure in CIF format:
```
data_CoF
_space_group_name_H-M_alt 'P 1'
_space_group_IT_number 1
_cell_length_a 4.8316
_cell_length_b 4.8316
_cell_length_c 4.8316
_cell_angle_alpha 90.00
_cell_angle_beta 90.00
_cell_angle_gamma 90.00
loop_
_space_group_symop_operation_xyz
'x,y,z'
loop_
_atom_site_label
_atom_site_fract_x
_atom_site_fract_y
_atom_site_fract_z
Co1 0.0000 0.0000 0.0000
Co2 0.0000 0.5000 0.5000
Co3 0.5000 0.0000 0.5000
Co4 0.5000 0.5000 0.0000
F1 0.2500 0.2500 0.2500
F2 0.2500 0.7500 0.7500
F3 0.7500 0.2500 0.7500
F4 0.7500 0.7500 0.2500
```

=====

<b>
CoF: relaxed, PBE with a Hubbard U.

Properties
Magnetic moment, Bohr magnetons per cell: 8.4
ρ, Mg/m³: 5.488
Calculated volume, Å³ per atom: 11.8

The structure in CIF format:
```
data_CoF
_space_group_name_H-M_alt 'P 1'
_space_group_IT_number 1
_cell_length_a 4.5519
_cell_length_b 4.5519
_cell_length_c 4.5519
_cell_angle_alpha 90.00
_cell_angle_beta 90.00
_cell_angle_gamma 90.00
loop_
_space_group_symop_operation_xyz
'x,y,z'
loop_
_atom_site_label
_atom_site_fract_x
_atom_site_fract_y
_atom_site_fract_z
Co1 0.5000 0.5000 0.5000
Co2 0.5000 0.0000 0.0000
Co3 0.0000 0.5000 0.0000
Co4 0.0000 0.0000 0.5000
F1 0.0000 0.0000 0.0000
F2 0.0000 0.5000 0.5000
F3 0.5000 0.0000 0.5000
F4 0.5000 0.5000 0.0000
```

=====

<c>
CoF: relaxed, PBE with a Hubbard U.

Properties
Magnetic moment, Bohr magnetons per cell: 4.5
ρ, Mg/m³: 5.202
Calculated volume, Å³ per atom: 12.4

The structure in CIF format:
```
data_CoF
_space_group_name_H-M_alt 'P 1'
_space_group_IT_number 1
_cell_length_a 2.8909
_cell_length_b 2.8909
_cell_length_c 6.8749
_cell_angle_alpha 90.00
_cell_angle_beta 90.00
_cell_angle_gamma 120.00
loop_
_space_group_symop_operation_xyz
'x,y,z'
loop_
_atom_site_label
_atom_site_fract_x
_atom_site_fract_y
_atom_site_fract_z
Co1 0.3333 0.6667 0.6855
Co2 0.6667 0.3333 0.1855
F1 0.3333 0.6667 0.3965
F2 0.6667 0.3333 0.8965
```

=====

Which is most stable, and by how much? <c>, by 36 meV per atom.

=====

<a>
CoF: relaxed, PBE with a Hubbard U.

Properties
Magnetic moment, Bohr magnetons per cell: 17.6
ρ, Mg/m³: 3.711
Calculated volume, Å³ per atom: 17.4

The structure in CIF format:
```
data_CoF
_space_group_name_H-M_alt 'P 1'
_space_group_IT_number 1
_cell_length_a 6.5344
_cell_length_b 6.5344
_cell_length_c 6.5344
_cell_angle_alpha 90.00
_cell_angle_beta 90.00
_cell_angle_gamma 90.00
loop_
_space_group_symop_operation_xyz
'x,y,z'
loop_
_atom_site_label
_atom_site_fract_x
_atom_site_fract_y
_atom_site_fract_z
Co1 0.3143 0.3143 0.3143
Co2 0.3143 0.6857 0.6857
Co3 0.6857 0.3143 0.6857
Co4 0.6857 0.6857 0.3143
Co5 0.8143 0.8143 0.8143
Co6 0.8143 0.1857 0.1857
Co7 0.1857 0.8143 0.1857
Co8 0.1857 0.1857 0.8143
F1 0.1427 0.1427 0.1427
F2 0.1427 0.8573 0.8573
F3 0.8573 0.1427 0.8573
F4 0.8573 0.8573 0.1427
F5 0.6427 0.6427 0.6427
F6 0.6427 0.3573 0.3573
F7 0.3573 0.6427 0.3573
F8 0.3573 0.3573 0.6427
```

=====

<b>
CoF: relaxed, PBE with a Hubbard U.

Properties
Magnetic moment, Bohr magnetons per cell: 19.9
ρ, Mg/m³: 5.424
Calculated volume, Å³ per atom: 11.9

The structure in CIF format:
```
data_CoF
_space_group_name_H-M_alt 'P 1'
_space_group_IT_number 1
_cell_length_a 4.6681
_cell_length_b 5.0682
_cell_length_c 8.0674
_cell_angle_alpha 90.00
_cell_angle_beta 90.00
_cell_angle_gamma 90.00
loop_
_space_group_symop_operation_xyz
'x,y,z'
loop_
_atom_site_label
_atom_site_fract_x
_atom_site_fract_y
_atom_site_fract_z
Co1 0.7101 0.0884 0.4975
Co2 0.2101 0.4116 0.5025
Co3 0.2899 0.5884 0.0025
Co4 0.7899 0.9116 0.9975
Co5 0.2084 0.0056 0.3066
Co6 0.7084 0.4944 0.6934
Co7 0.7916 0.5056 0.1934
Co8 0.2916 0.9944 0.8066
F1 0.4115 0.7558 0.5997
F2 0.9115 0.7442 0.4003
F3 0.5885 0.2558 0.9003
F4 0.0885 0.2442 0.0997
F5 0.3921 0.6180 0.2728
F6 0.8921 0.8820 0.7272
F7 0.6079 0.1180 0.2272
F8 0.1079 0.3820 0.7728
```

=====

Which is most stable, and by how much? <b>, by 209 meV per atom.

=====

<a>
CoF: relaxed, PBE with a Hubbard U.

Properties
Magnetic moment, Bohr magnetons per cell: 13.8
ρ, Mg/m³: 4.994
Calculated volume, Å³ per atom: 13.0

The structure in CIF format:
```
data_CoF
_space_group_name_H-M_alt 'P 1'
_space_group_IT_number 1
_cell_length_a 7.8643
_cell_length_b 7.8643
_cell_length_c 2.9027
_cell_angle_alpha 90.00
_cell_angle_beta 90.00
_cell_angle_gamma 120.00
loop_
_space_group_symop_operation_xyz
'x,y,z'
loop_
_atom_site_label
_atom_site_fract_x
_atom_site_fract_y
_atom_site_fract_z
Co1 0.9521 0.2628 0.2500
Co2 0.6893 0.9521 0.7500
Co3 0.7372 0.6893 0.2500
Co4 0.0479 0.7372 0.7500
Co5 0.3107 0.0479 0.2500
Co6 0.2628 0.3107 0.7500
F1 0.6534 0.1218 0.2500
F2 0.5316 0.6534 0.7500
F3 0.8782 0.5316 0.2500
F4 0.3466 0.8782 0.7500
F5 0.4684 0.3466 0.2500
F6 0.1218 0.4684 0.7500
```

=====

<b>
CoF: relaxed, PBE with a Hubbard U.

Properties
Magnetic moment, Bohr magnetons per cell: 14.9
ρ, Mg/m³: 5.223
Calculated volume, Å³ per atom: 12.4

The structure in CIF format:
```
data_CoF
_space_group_name_H-M_alt 'P 1'
_space_group_IT_number 1
_cell_length_a 2.9230
_cell_length_b 4.9118
_cell_length_c 10.3552
_cell_angle_alpha 90.00
_cell_angle_beta 90.00
_cell_angle_gamma 90.00
loop_
_space_group_symop_operation_xyz
'x,y,z'
loop_
_atom_site_label
_atom_site_fract_x
_atom_site_fract_y
_atom_site_fract_z
Co1 0.0000 0.6910 0.7984
Co2 0.5000 0.3090 0.7016
Co3 0.5000 0.3090 0.2984
Co4 0.0000 0.6910 0.2016
Co5 0.0000 0.7077 0.5000
Co6 0.5000 0.2923 0.0000
F1 0.0000 0.9977 0.6403
F2 0.5000 0.0023 0.8597
F3 0.5000 0.0023 0.1403
F4 0.0000 0.9977 0.3597
F5 0.0000 0.5884 0.0000
F6 0.5000 0.4116 0.5000
```

=====

Which is most stable, and by how much? <b>, by 135 meV per atom.

=====

<a>
CoF: relaxed, PBE with a Hubbard U.

Properties
Magnetic moment, Bohr magnetons per cell: 14.4
ρ, Mg/m³: 5.354
Calculated volume, Å³ per atom: 12.1

The structure in CIF format:
```
data_CoF
_space_group_name_H-M_alt 'P 1'
_space_group_IT_number 1
_cell_length_a 9.5477
_cell_length_b 2.9761
_cell_length_c 5.1039
_cell_angle_alpha 90.00
_cell_angle_beta 90.00
_cell_angle_gamma 90.00
loop_
_space_group_symop_operation_xyz
'x,y,z'
loop_
_atom_site_label
_atom_site_fract_x
_atom_site_fract_y
_atom_site_fract_z
Co1 0.8688 0.0000 0.2357
Co2 0.1312 0.0000 0.2357
Co3 0.3688 0.5000 0.7357
Co4 0.6312 0.5000 0.7357
Co5 0.0000 0.0000 0.8097
Co6 0.5000 0.5000 0.3097
F1 0.7763 0.0000 0.6259
F2 0.2237 0.0000 0.6259
F3 0.2763 0.5000 0.1259
F4 0.7237 0.5000 0.1259
F5 0.0000 0.5000 0.4691
F6 0.5000 0.0000 0.9691
```

=====

<b>
CoF: relaxed, PBE with a Hubbard U.

Properties
Magnetic moment, Bohr magnetons per cell: 35.5
ρ, Mg/m³: 5.160
Calculated volume, Å³ per atom: 12.5

The structure in CIF format:
```
data_CoF
_space_group_name_H-M_alt 'P 1'
_space_group_IT_number 1
_cell_length_a 2.9628
_cell_length_b 13.1699
_cell_length_c 10.2828
_cell_angle_alpha 90.00
_cell_angle_beta 90.00
_cell_angle_gamma 90.00
loop_
_space_group_symop_operation_xyz
'x,y,z'
loop_
_atom_site_label
_atom_site_fract_x
_atom_site_fract_y
_atom_site_fract_z
Co1 0.0000 0.0000 0.3441
Co2 0.0000 0.0000 0.6559
Co3 0.2500 0.7500 0.9059
Co4 0.2500 0.7500 0.5941
Co5 0.0000 0.5000 0.8441
Co6 0.0000 0.5000 0.1559
Co7 0.2500 0.2500 0.4059
Co8 0.2500 0.2500 0.0941
Co9 0.5000 0.0000 0.8441
Co10 0.5000 0.0000 0.1559
Co11 0.7500 0.7500 0.4059
Co12 0.7500 0.7500 0.0941
Co13 0.5000 0.5000 0.3441
Co14 0.5000 0.5000 0.6559
Co15 0.7500 0.2500 0.9059
Co16 0.7500 0.2500 0.5941
F1 0.0000 0.3977 0.0000
F2 0.0000 0.6023 0.0000
F3 0.2500 0.3523 0.2500
F4 0.2500 0.1477 0.2500
F5 0.0000 0.8977 0.5000
F6 0.0000 0.1023 0.5000
F7 0.2500 0.8523 0.7500
F8 0.2500 0.6477 0.7500
F9 0.5000 0.3977 0.5000
F10 0.5000 0.6023 0.5000
F11 0.7500 0.3523 0.7500
F12 0.7500 0.1477 0.7500
F13 0.5000 0.8977 0.0000
F14 0.5000 0.1023 0.0000
F15 0.7500 0.8523 0.2500
F16 0.7500 0.6477 0.2500
```

=====

Which is most stable, and by how much? <a>, by 150 meV per atom.

=====

<a>
FeCoF2: relaxed, PBE with a Hubbard U.

Properties
Magnetic moment, Bohr magnetons per cell: 5.8
ρ, Mg/m³: 5.076
Calculated volume, Å³ per atom: 12.5

The structure in CIF format:
```
data_FeCoF2
_space_group_name_H-M_alt 'P 1'
_space_group_IT_number 1
_cell_length_a 7.1627
_cell_length_b 7.1627
_cell_length_c 7.1627
_cell_angle_alpha 23.18
_cell_angle_beta 23.18
_cell_angle_gamma 23.18
loop_
_space_group_symop_operation_xyz
'x,y,z'
loop_
_atom_site_label
_atom_site_fract_x
_atom_site_fract_y
_atom_site_fract_z
Co1 0.5000 0.5000 0.5000
Fe1 0.0000 0.0000 0.0000
F1 0.9007 0.9007 0.9007
F2 0.0993 0.0993 0.0993
```

=====

<b>
FeCoF2: relaxed, PBE with a Hubbard U.

Properties
Magnetic moment, Bohr magnetons per cell: 11.7
ρ, Mg/m³: 4.732
Calculated volume, Å³ per atom: 13.4

The structure in CIF format:
```
data_FeCoF2
_space_group_name_H-M_alt 'P 1'
_space_group_IT_number 1
_cell_length_a 3.9870
_cell_length_b 3.9870
_cell_length_c 7.3109
_cell_angle_alpha 74.18
_cell_angle_beta 74.18
_cell_angle_gamma 90.00
loop_
_space_group_symop_operation_xyz
'x,y,z'
loop_
_atom_site_label
_atom_site_fract_x
_atom_site_fract_y
_atom_site_fract_z
Co1 0.0000 0.0000 0.0000
Co2 0.7500 0.2500 0.5000
Fe1 0.5000 0.5000 0.0000
Fe2 0.2500 0.7500 0.5000
F1 0.6080 0.1250 0.2500
F2 0.1420 0.6250 0.2500
F3 0.3750 0.3920 0.7500
F4 0.8750 0.8580 0.7500
```

=====

<c>
FeCoF2: relaxed, PBE with a Hubbard U.

Properties
Magnetic moment, Bohr magnetons per cell: 5.5
ρ, Mg/m³: 5.457
Calculated volume, Å³ per atom: 11.6

The structure in CIF format:
```
data_FeCoF2
_space_group_name_H-M_alt 'P 1'
_space_group_IT_number 1
_cell_length_a 4.0360
_cell_length_b 4.0360
_cell_length_c 4.0360
_cell_angle_alpha 60.00
_cell_angle_beta 60.00
_cell_angle_gamma 60.00
loop_
_space_group_symop_operation_xyz
'x,y,z'
loop_
_atom_site_label
_atom_site_fract_x
_atom_site_fract_y
_atom_site_fract_z
Co1 0.5000 0.5000 0.5000
Fe1 0.0000 0.0000 0.0000
F1 0.2500 0.2500 0.2500
F2 0.7500 0.7500 0.7500
```

=====

Which is most stable, and by how much? <a>, by 27 meV per atom.